[1]
DFT (GGA-PBE) results for MnTlHg4 after structural relaxation.

abc: 6.027 6.027 6.027
angles: 60.00 60.00 60.00
Atoms (fractional coordinates):
Mn 0.750 0.750 0.750
Tl 0.000 0.000 0.000
Hg 0.874 0.375 0.375
Hg 0.375 0.375 0.874
Hg 0.375 0.874 0.375
Hg 0.375 0.375 0.375

Magnetization, μB per atom: 0.74
Uncorrected energy, eV per atom: -1.764
Fermi-level density of states, states/eV/cell: 1.46
Formation energy from the elements, eV per atom: 0.360

=====

[2]
DFT (GGA-PBE) results for Mn2TlHg after structural relaxation.

abc: 9.657 9.657 9.657
angles: 18.73 18.73 18.73
Atoms (fractional coordinates):
Hg 0.259 0.259 0.259
Mn 0.005 0.005 0.005
Mn 0.742 0.742 0.742
Tl 0.493 0.493 0.493

Magnetization, μB per atom: 1.86
Uncorrected energy, eV per atom: -4.761
Fermi-level density of states, states/eV/cell: 2.56
Distance to the lowest polymorph of the same formula, meV per atom: 80
Formation energy from the elements, eV per atom: 0.491

=====

[3]
DFT (GGA-PBE) results for Mn2TlHg after structural relaxation.

abc: 4.833 4.833 4.833
angles: 60.00 60.00 60.00
Atoms (fractional coordinates):
Hg 0.500 0.500 0.500
Mn 0.000 0.000 0.000
Mn 0.250 0.250 0.250
Tl 0.750 0.750 0.750

Magnetization, μB per atom: 1.95
Uncorrected energy, eV per atom: -4.625
Fermi-level density of states, states/eV/cell: 4.73
Distance to the lowest polymorph of the same formula, meV per atom: 215
Formation energy from the elements, eV per atom: 0.626

=====

[4]
DFT (GGA-PBE) results for Mn2TlHg after structural relaxation.

abc: 4.884 4.884 5.476
angles: 78.40 78.40 39.07
Atoms (fractional coordinates):
Hg 0.250 0.250 0.250
Mn 0.998 0.998 0.014
Mn 0.502 0.502 0.486
Tl 0.750 0.750 0.750

Magnetization, μB per atom: 1.95
Uncorrected energy, eV per atom: -4.774
Fermi-level density of states, states/eV/cell: 2.89
Distance to the lowest polymorph of the same formula, meV per atom: 66
Formation energy from the elements, eV per atom: 0.478

=====

[5]
DFT (GGA-PBE) results for Mn2TlHg after structural relaxation.

abc: 3.659 3.257 7.200
angles: 63.05 90.00 90.00
Atoms (fractional coordinates):
Hg 0.500 0.750 0.750
Mn 0.000 0.014 0.986
Mn 0.000 0.486 0.514
Tl 0.500 0.250 0.250

Magnetization, μB per atom: 1.90
Uncorrected energy, eV per atom: -4.814
Fermi-level density of states, states/eV/cell: 3.40
Distance to the lowest polymorph of the same formula, meV per atom: 26
Formation energy from the elements, eV per atom: 0.438

=====

[6]
DFT (GGA-PBE) results for Mn2TlHg after structural relaxation.

abc: 3.178 3.178 7.814
angles: 90.00 90.00 89.99
Atoms (fractional coordinates):
Hg 0.500 0.500 0.790
Mn 0.000 0.000 0.018
Mn 0.500 0.500 0.217
Tl 0.000 0.000 0.474

Magnetization, μB per atom: 1.86
Uncorrected energy, eV per atom: -4.840
Fermi-level density of states, states/eV/cell: 1.54
Distance to the lowest polymorph of the same formula, meV per atom: 0
Formation energy from the elements, eV per atom: 0.411

=====

[7]
DFT (GGA-PBE) results for Mn2TlHg after structural relaxation.

abc: 9.048 9.048 9.048
angles: 20.74 20.74 20.74
Atoms (fractional coordinates):
Hg 0.250 0.250 0.250
Mn 0.997 0.997 0.997
Mn 0.503 0.503 0.503
Tl 0.750 0.750 0.750

Magnetization, μB per atom: 1.98
Uncorrected energy, eV per atom: -4.769
Fermi-level density of states, states/eV/cell: 2.21
Distance to the lowest polymorph of the same formula, meV per atom: 71
Formation energy from the elements, eV per atom: 0.482

=====

[8]
DFT (GGA-PBE) results for MnTl3Hg after structural relaxation.

abc: 5.274 5.274 5.274
angles: 90.00 90.00 90.00
Atoms (fractional coordinates):
Tl 0.000 0.500 0.000
Tl 0.000 0.000 0.500
Tl 0.500 0.000 0.000
Mn 0.000 0.000 0.000
Hg 0.500 0.500 0.500

Magnetization, μB per atom: 0.43
Uncorrected energy, eV per atom: -3.010
Fermi-level density of states, states/eV/cell: 3.87
Distance to the lowest polymorph of the same formula, meV per atom: 0
Formation energy from the elements, eV per atom: 0.304

=====

[9]
DFT (GGA-PBE) results for Mn2TlHg after structural relaxation.

abc: 4.954 4.954 4.954
angles: 126.75 126.67 78.73
Atoms (fractional coordinates):
Hg 0.250 0.750 0.500
Mn 0.000 0.000 0.000
Mn 0.500 0.500 0.000
Tl 0.750 0.250 0.500

Magnetization, μB per atom: 1.85
Uncorrected energy, eV per atom: -4.812
Fermi-level density of states, states/eV/cell: 3.47
Distance to the lowest polymorph of the same formula, meV per atom: 28
Formation energy from the elements, eV per atom: 0.439

=====

[10]
DFT (GGA-PBE) results for Mn2TlHg after structural relaxation.

abc: 5.486 5.486 5.486
angles: 136.72 136.72 62.88
Atoms (fractional coordinates):
Hg 0.750 0.250 0.500
Mn 0.000 0.000 0.000
Mn 0.250 0.750 0.500
Tl 0.500 0.500 0.000

Magnetization, μB per atom: 1.82
Uncorrected energy, eV per atom: -4.775
Fermi-level density of states, states/eV/cell: 3.46
Distance to the lowest polymorph of the same formula, meV per atom: 66
Formation energy from the elements, eV per atom: 0.477

=====

[11]
DFT (GGA-PBE) results for Mn3TlHg after structural relaxation.

abc: 5.099 5.099 5.099
angles: 90.00 90.00 90.00
Atoms (fractional coordinates):
Tl 0.500 0.500 0.500
Mn 0.000 0.500 0.000
Mn 0.000 0.000 0.500
Mn 0.500 0.000 0.000
Hg 0.000 0.000 0.000

Magnetization, μB per atom: 2.54
Uncorrected energy, eV per atom: -5.016
Fermi-level density of states, states/eV/cell: 4.97
Distance to the lowest polymorph of the same formula, meV per atom: 0
Formation energy from the elements, eV per atom: 1.020

=====

[12]
DFT (GGA-PBE) results for Mn2TlHg after structural relaxation.

abc: 5.860 5.860 5.860
angles: 148.20 132.54 58.26
Atoms (fractional coordinates):
Hg 0.233 0.733 0.500
Mn 0.992 0.992 0.000
Mn 0.772 0.272 0.500
Tl 0.503 0.503 0.000

Magnetization, μB per atom: 1.85
Uncorrected energy, eV per atom: -4.805
Fermi-level density of states, states/eV/cell: 2.81
Distance to the lowest polymorph of the same formula, meV per atom: 36
Formation energy from the elements, eV per atom: 0.447

=====

[13]
DFT (GGA-PBE) results for Mn2TlHg after structural relaxation.

abc: 7.497 7.497 6.110
angles: 52.15 52.15 90.00
Atoms (fractional coordinates):
Tl 0.000 0.000 0.000
Tl 0.750 0.250 0.500
Mn 0.617 0.125 0.250
Mn 0.133 0.625 0.250
Mn 0.375 0.383 0.750
Mn 0.875 0.867 0.750
Hg 0.500 0.500 0.000
Hg 0.250 0.750 0.500

Magnetization, μB per atom: 1.92
Uncorrected energy, eV per atom: -4.592
Fermi-level density of states, states/eV/cell: 7.13
Distance to the lowest polymorph of the same formula, meV per atom: 249
Formation energy from the elements, eV per atom: 0.660

=====

[14]
DFT (GGA-PBE) results for Mn2TlHg after structural relaxation.

abc: 4.822 4.822 3.286
angles: 90.00 90.00 93.68
Atoms (fractional coordinates):
Hg 0.000 0.500 0.500
Mn 0.000 0.000 0.000
Mn 0.500 0.500 0.000
Tl 0.500 0.000 0.500

Magnetization, μB per atom: 1.91
Uncorrected energy, eV per atom: -4.809
Fermi-level density of states, states/eV/cell: 3.44
Distance to the lowest polymorph of the same formula, meV per atom: 31
Formation energy from the elements, eV per atom: 0.443

=====

[15]
DFT (GGA-PBE) results for Mn2TlHg after structural relaxation.

abc: 4.752 4.752 4.752
angles: 60.00 60.00 60.00
Atoms (fractional coordinates):
Tl 0.500 0.500 0.500
Mn 0.250 0.250 0.250
Mn 0.750 0.750 0.750
Hg 0.000 0.000 0.000

Magnetization, μB per atom: 1.87
Uncorrected energy, eV per atom: -4.812
Fermi-level density of states, states/eV/cell: 5.04
Distance to the lowest polymorph of the same formula, meV per atom: 29
Formation energy from the elements, eV per atom: 0.440

=====

[16]
DFT (GGA-PBE) results for MnTlHgW2 after structural relaxation.

abc: 4.550 4.981 4.550
angles: 90.00 90.00 90.00
Atoms (fractional coordinates):
Tl 0.000 0.500 0.000
Mn 0.000 0.000 0.000
Hg 0.500 0.500 0.500
W 0.000 0.000 0.500
W 0.500 0.000 0.000

Magnetization, μB per atom: 0.09
Uncorrected energy, eV per atom: -6.122
Fermi-level density of states, states/eV/cell: 4.98
Formation energy from the elements, eV per atom: 1.427

=====

[17]
DFT (GGA-PBE) results for Tm6Mn2Hg after structural relaxation.

abc: 8.271 8.271 8.271
angles: 107.53 110.14 110.76
Atoms (fractional coordinates):
Tm 0.526 0.715 0.811
Tm 0.474 0.285 0.189
Tm 0.096 0.285 0.811
Tm 0.904 0.715 0.189
Tm 0.785 0.769 0.554
Tm 0.215 0.231 0.446
Tm 0.215 0.769 0.984
Tm 0.785 0.231 0.016
Tm 0.708 0.394 0.686
Tm 0.292 0.606 0.314
Tm 0.292 0.978 0.686
Tm 0.708 0.022 0.314
Mn 0.500 0.393 0.893
Mn 0.500 0.607 0.107
Mn 0.613 0.000 0.613
Mn 0.387 0.000 0.387
Hg 0.000 0.500 0.500
Hg 0.000 0.000 0.000

Magnetization, μB per atom: 0.21
Uncorrected energy, eV per atom: -5.142
Fermi-level density of states, states/eV/cell: 19.44
Formation energy from the elements, eV per atom: -0.090

=====

[18]
DFT (GGA-PBE) results for Tm4MnHg after structural relaxation.

abc: 5.969 7.552 7.552
angles: 111.58 98.98 98.98
Atoms (fractional coordinates):
Tm 0.897 0.639 0.798
Tm 0.043 0.936 0.272
Tm 0.603 0.202 0.361
Tm 0.457 0.728 0.064
Tm 0.543 0.272 0.936
Tm 0.397 0.798 0.639
Tm 0.957 0.064 0.728
Tm 0.103 0.361 0.202
Mn 0.250 0.999 0.001
Mn 0.750 0.001 0.999
Hg 0.750 0.627 0.373
Hg 0.250 0.373 0.627

Magnetization, μB per atom: 0.09
Uncorrected energy, eV per atom: -4.695
Fermi-level density of states, states/eV/cell: 13.03
Formation energy from the elements, eV per atom: -0.136

=====

[19]
DFT (GGA-PBE) results for YTmMnHg after structural relaxation.

abc: 5.124 5.124 5.124
angles: 60.00 60.00 60.00
Atoms (fractional coordinates):
Y 0.250 0.250 0.250
Tm 0.750 0.750 0.750
Hg 0.500 0.500 0.500
Mn 0.000 0.000 0.000

Magnetization, μB per atom: 0.77
Uncorrected energy, eV per atom: -5.189
Fermi-level density of states, states/eV/cell: 6.33
Formation energy from the elements, eV per atom: -0.087

=====

[20]
DFT (GGA-PBE) results for TmMnZnHg after structural relaxation.

abc: 4.823 4.823 4.823
angles: 60.00 60.00 60.00
Atoms (fractional coordinates):
Zn 0.000 0.000 0.000
Tm 0.250 0.250 0.250
Hg 0.500 0.500 0.500
Mn 0.750 0.750 0.750

Magnetization, μB per atom: 1.01
Uncorrected energy, eV per atom: -3.900
Fermi-level density of states, states/eV/cell: 2.27
Formation energy from the elements, eV per atom: -0.096

=====

[21]
DFT (GGA-PBE) results for MnVHg3 after structural relaxation.

abc: 5.073 5.073 5.073
angles: 90.00 90.00 90.00
Atoms (fractional coordinates):
Mn 0.000 0.000 0.000
Hg 0.000 0.500 0.000
Hg 0.000 0.000 0.500
Hg 0.500 0.000 0.000
V 0.500 0.500 0.500

Magnetization, μB per atom: 1.47
Uncorrected energy, eV per atom: -2.883
Fermi-level density of states, states/eV/cell: 8.69
Distance to the lowest polymorph of the same formula, meV per atom: 0
Formation energy from the elements, eV per atom: 0.956

=====

[22]
DFT (GGA-PBE) results for MnVHg2 after structural relaxation.

abc: 7.549 7.549 6.070
angles: 51.55 51.55 90.00
Atoms (fractional coordinates):
Mn 0.000 0.000 0.000
Mn 0.750 0.250 0.500
Hg 0.631 0.125 0.250
Hg 0.119 0.625 0.250
Hg 0.375 0.369 0.750
Hg 0.875 0.881 0.750
V 0.500 0.500 0.000
V 0.250 0.750 0.500

Magnetization, μB per atom: 0.27
Uncorrected energy, eV per atom: -4.072
Fermi-level density of states, states/eV/cell: 7.19
Formation energy from the elements, eV per atom: 0.651

=====

[23]
DFT (GGA-PBE) results for MnV3Hg after structural relaxation.

abc: 5.034 5.034 5.034
angles: 90.00 90.00 90.00
Atoms (fractional coordinates):
Mn 0.500 0.500 0.500
Hg 0.000 0.000 0.000
V 0.000 0.500 0.000
V 0.000 0.000 0.500
V 0.500 0.000 0.000

Magnetization, μB per atom: 2.74
Uncorrected energy, eV per atom: -5.401
Fermi-level density of states, states/eV/cell: 14.38
Distance to the lowest polymorph of the same formula, meV per atom: 1283
Formation energy from the elements, eV per atom: 1.965

=====

[24]
DFT (GGA-PBE) results for MnV3Hg after structural relaxation.

abc: 4.347 4.347 4.347
angles: 90.00 90.00 90.00
Atoms (fractional coordinates):
Mn 0.000 0.000 0.000
Hg 0.500 0.500 0.500
V 0.000 0.500 0.000
V 0.000 0.000 0.500
V 0.500 0.000 0.000

Magnetization, μB per atom: 0.00
Uncorrected energy, eV per atom: -6.684
Fermi-level density of states, states/eV/cell: 5.12
Distance to the lowest polymorph of the same formula, meV per atom: 0
Formation energy from the elements, eV per atom: 0.682

=====

[25]
DFT (GGA-PBE) results for MnV2HgW after structural relaxation.

abc: 4.523 5.192 4.523
angles: 90.00 90.00 90.00
Atoms (fractional coordinates):
Mn 0.500 0.500 0.500
Hg 0.000 0.500 0.000
W 0.000 0.000 0.000
V 0.000 0.000 0.500
V 0.500 0.000 0.000

Magnetization, μB per atom: 0.20
Uncorrected energy, eV per atom: -6.183
Fermi-level density of states, states/eV/cell: 5.60
Formation energy from the elements, eV per atom: 1.950

=====

[26]
DFT (GGA-PBE) results for YMn2VHg after structural relaxation.

abc: 4.955 4.961 4.955
angles: 90.00 90.00 90.00
Atoms (fractional coordinates):
Y 0.000 0.000 0.000
Mn 0.000 0.000 0.500
Mn 0.500 0.000 0.000
Hg 0.500 0.500 0.500
V 0.000 0.500 0.000

Magnetization, μB per atom: 0.88
Uncorrected energy, eV per atom: -5.176
Fermi-level density of states, states/eV/cell: 5.92
Formation energy from the elements, eV per atom: 1.668

=====

[27]
DFT (GGA-PBE) results for MnHgW2 after structural relaxation.

abc: 2.790 2.790 9.028
angles: 90.00 90.00 108.72
Atoms (fractional coordinates):
Hg 0.000 0.000 0.511
Mn 0.500 0.500 0.768
W 0.000 0.000 0.990
W 0.500 0.500 0.231

Magnetization, μB per atom: 0.68
Uncorrected energy, eV per atom: -8.449
Fermi-level density of states, states/eV/cell: 2.91
Formation energy from the elements, eV per atom: 0.395

=====

[28]
DFT (GGA-PBE) results for MnHg2W after structural relaxation.

abc: 5.029 5.029 5.029
angles: 130.73 130.73 72.25
Atoms (fractional coordinates):
Hg 0.000 0.000 0.000
Hg 0.250 0.750 0.500
Mn 0.500 0.500 0.000
W 0.750 0.250 0.500

Magnetization, μB per atom: 0.48
Uncorrected energy, eV per atom: -4.886
Fermi-level density of states, states/eV/cell: 2.69
Distance to the lowest polymorph of the same formula, meV per atom: 336
Formation energy from the elements, eV per atom: 0.795